# RbBrCl2

Crystalline RbBrCl2 at its relaxed geometry (GGA-PBE, the Alexandria database).

```
RbBrCl2
1.0
5.418 0.000 0.000
-2.709 4.692 0.000
0.000 0.000 14.737
Rb Br Cl
2 2 4
direct
0.000 0.000 0.000 Rb
0.000 0.000 0.500 Rb
0.333 0.667 0.250 Br
0.667 0.333 0.750 Br
0.333 0.667 0.086 Cl
0.333 0.667 0.414 Cl
0.667 0.333 0.586 Cl
0.667 0.333 0.914 Cl
```

The value obtained for the total moment is 0.00 μB/f.u. The calculation puts the total energy at -2.62 eV per atom. Its formation energy (no corrections) is -1040.5 meV per atom. The space group is P6_3/mmc.

---

# CsICl2

Crystalline CsICl2 at its relaxed geometry (GGA-PBE, the Alexandria database).

```
CsICl2
1.0
2.875 1.660 7.729
-2.875 1.660 7.729
0.000 -3.319 7.729
Cs I Cl
1 1 2
direct
0.000 0.000 0.000 Cs
0.500 0.500 0.500 I
0.389 0.389 0.389 Cl
0.611 0.611 0.611 Cl
```

The value obtained for the total moment is 0.00 μB/f.u. The calculation puts the total energy at -2.65 eV per atom. Its formation energy (no corrections) is -1123.6 meV per atom. The space group is R-3m.

---

# H2PtBr2

Crystalline H2PtBr2 at its relaxed geometry (GGA-PBE, the Alexandria database).

```
H2PtBr2
1.0
-1.355 4.086 4.309
1.355 -4.086 4.309
1.355 4.086 -4.309
H Pt Br
2 1 2
direct
0.138 0.000 0.138 H
0.862 0.000 0.862 H
0.000 0.500 0.500 Pt
0.323 0.323 0.000 Br
0.677 0.677 0.000 Br
```

The value obtained for the total moment is 0.00 μB/f.u. The calculation puts the total energy at -2.97 eV per atom. The space group is Immm.

---

# BaNaGa3

Crystalline BaNaGa3 at its relaxed geometry (GGA-PBE, the Alexandria database).

```
BaNaGa3
1.0
6.083 0.000 0.000
0.000 6.083 0.000
0.000 0.000 6.083
Ba Na Ga
1 1 3
direct
0.000 0.000 0.000 Ba
0.500 0.500 0.500 Na
0.000 0.000 0.500 Ga
0.000 0.500 0.000 Ga
0.500 0.000 0.000 Ga
```

The value obtained for the total moment is 0.00 μB/f.u. The calculation puts the total energy at -1.77 eV per atom. The space group is Pm-3m. As for the formation enthalpy at 0 K: 3.49 eV/f.u.

---

# Cs2PbI4

Crystalline Cs2PbI4 at its relaxed geometry (GGA-PBE, the Alexandria database).

```
Cs2PbI4
1.0
9.639 0.000 0.000
0.000 15.329 0.000
0.000 0.000 5.114
Cs Pb I
4 2 8
direct
0.082 0.177 0.000 Cs
0.418 0.677 0.000 Cs
0.582 0.323 0.000 Cs
0.918 0.823 0.000 Cs
0.000 0.500 0.500 Pb
0.500 0.000 0.500 Pb
0.128 0.695 0.500 I
0.210 0.448 0.000 I
0.290 0.948 0.000 I
0.372 0.195 0.500 I
0.628 0.805 0.500 I
0.710 0.052 0.000 I
0.790 0.552 0.000 I
0.872 0.305 0.500 I
```

The value obtained for the total moment is 0.00 μB/f.u. The calculation puts the total energy at -2.83 eV per atom. Its formation energy (no corrections) is -1169.9 meV per atom. The space group is Pbam.

---

# CeGaSe2

Crystalline CeGaSe2 at its relaxed geometry (GGA-PBE, the Alexandria database).

```
CeGaSe2
1.0
5.879 0.000 0.000
0.000 4.298 0.000
-2.846 0.000 7.699
Ce Ga Se
2 2 4
direct
0.148 0.250 0.297 Ce
0.852 0.750 0.703 Ce
0.277 0.250 0.816 Ga
0.723 0.750 0.184 Ga
0.267 0.750 0.072 Se
0.291 0.750 0.575 Se
0.709 0.250 0.425 Se
0.733 0.250 0.928 Se
```

The value obtained for the total moment is 1.00 μB/f.u. The calculation puts the total energy at -5.23 eV per atom. Its formation energy (no corrections) is -1244.5 meV per atom. The space group is P2_1/m.

---

# Pm4GeAs2

Crystalline Pm4GeAs2 at its relaxed geometry (GGA-PBE, the Alexandria database).

```
Pm4GeAs2
1.0
-4.503 4.503 4.512
4.503 -4.503 4.512
4.503 4.503 -4.512
Pm Ge As
8 2 4
direct
0.124 0.741 0.748 Pm
0.126 0.243 0.752 Pm
0.259 0.007 0.383 Pm
0.491 0.374 0.248 Pm
0.624 0.876 0.617 Pm
0.626 0.874 0.117 Pm
0.757 0.509 0.883 Pm
0.993 0.376 0.252 Pm
0.000 0.000 0.000 Ge
0.750 0.250 0.500 Ge
0.251 0.625 0.126 As
0.375 0.501 0.626 As
0.499 0.125 0.874 As
0.875 0.749 0.374 As
```

The value obtained for the total moment is 0.00 μB/f.u. The calculation puts the total energy at -5.83 eV per atom. The space group is I-42d. As for the formation enthalpy at 0 K: -7.92 eV/f.u.

---

# Ac4Pr3TaN8

Crystalline Ac4Pr3TaN8 at its relaxed geometry (GGA-PBE, the Alexandria database).

```
Ac4Pr3TaN8
1.0
3.677 2.123 6.110
-3.677 2.123 6.110
0.000 -4.246 6.110
Ac Pr Ta N
4 3 1 8
direct
0.000 0.000 0.000 Ac
0.000 0.500 0.500 Ac
0.500 0.000 0.500 Ac
0.500 0.500 0.000 Ac
0.000 0.000 0.500 Pr
0.000 0.500 0.000 Pr
0.500 0.000 0.000 Pr
0.500 0.500 0.500 Ta
0.245 0.245 0.245 N
0.277 0.718 0.718 N
0.282 0.282 0.723 N
0.282 0.723 0.282 N
0.718 0.277 0.718 N
0.718 0.718 0.277 N
0.723 0.282 0.282 N
0.755 0.755 0.755 N
```

The value obtained for the total moment is 0.00 μB/f.u. The calculation puts the total energy at -7.91 eV per atom. Its formation energy (no corrections) is -1084.8 meV per atom. The space group is R-3m.

---

# Ba2LiAg

Crystalline Ba2LiAg at its relaxed geometry (GGA-PBE, the Alexandria database).

```
Ba2LiAg
1.0
2.383 1.376 8.504
-2.383 1.376 8.504
0.000 -2.751 8.504
Ba Li Ag
2 1 1
direct
0.000 0.000 0.000 Ba
0.180 0.180 0.180 Ba
0.757 0.757 0.757 Li
0.423 0.423 0.423 Ag
```

The value obtained for the total moment is 0.00 μB/f.u. The calculation puts the total energy at -2.29 eV per atom. The space group is R3m. As for the formation enthalpy at 0 K: -0.56 eV/f.u.

---

# K2VCr2Se6

Crystalline K2VCr2Se6 at its relaxed geometry (GGA-PBE, the Alexandria database).

```
K2VCr2Se6
1.0
3.212 -5.549 0.000
3.212 5.549 0.000
-2.135 0.000 7.778
K V Cr Se
2 1 2 6
direct
0.166 0.834 0.000 K
0.834 0.166 0.000 K
0.000 0.000 0.500 V
0.332 0.668 0.500 Cr
0.668 0.332 0.500 Cr
0.063 0.393 0.680 Se
0.276 0.276 0.321 Se
0.393 0.063 0.680 Se
0.607 0.937 0.320 Se
0.724 0.724 0.679 Se
0.937 0.607 0.320 Se
```

The value obtained for the total moment is 7.01 μB/f.u. The calculation puts the total energy at -5.47 eV per atom. Its formation energy (no corrections) is -789.9 meV per atom. The space group is C2/m.

---

# Dy16Er7Sc6

Crystalline Dy16Er7Sc6 at its relaxed geometry (GGA-PBE, the Alexandria database).

```
Dy16Er7Sc6
1.0
0.000 7.608 7.608
7.608 0.000 7.608
7.608 7.608 0.000
Dy Er Sc
16 7 6
direct
0.058 0.647 0.647 Dy
0.112 0.112 0.112 Dy
0.112 0.112 0.664 Dy
0.112 0.664 0.112 Dy
0.336 0.888 0.888 Dy
0.353 0.353 0.353 Dy
0.353 0.353 0.942 Dy
0.353 0.942 0.353 Dy
0.647 0.058 0.647 Dy
0.647 0.647 0.058 Dy
0.647 0.647 0.647 Dy
0.664 0.112 0.112 Dy
0.888 0.336 0.888 Dy
0.888 0.888 0.336 Dy
0.888 0.888 0.888 Dy
0.942 0.353 0.353 Dy
0.000 0.000 0.500 Er
0.000 0.500 0.000 Er
0.000 0.500 0.500 Er
0.500 0.000 0.000 Er
0.500 0.000 0.500 Er
0.500 0.500 0.000 Er
0.500 0.500 0.500 Er
0.278 0.278 0.722 Sc
0.278 0.722 0.278 Sc
0.278 0.722 0.722 Sc
0.722 0.278 0.278 Sc
0.722 0.278 0.722 Sc
0.722 0.722 0.278 Sc
```

The value obtained for the total moment is 0.00 μB/f.u. The calculation puts the total energy at -4.76 eV per atom. The space group is Fm-3m. As for the formation enthalpy at 0 K: 5.44 eV/f.u.

---

# CsK2MgAu

Crystalline CsK2MgAu at its relaxed geometry (GGA-PBE, the Alexandria database).

```
CsK2MgAu
1.0
6.906 0.000 0.000
0.000 6.906 0.000
0.000 0.000 5.320
Cs K Mg Au
1 2 1 1
direct
0.000 0.000 0.000 Cs
0.000 0.500 0.500 K
0.500 0.000 0.500 K
0.500 0.500 0.500 Mg
0.500 0.500 0.000 Au
```

The value obtained for the total moment is 0.00 μB/f.u. The calculation puts the total energy at -1.53 eV per atom. The space group is P4/mmm. As for the formation enthalpy at 0 K: 0.29 eV/f.u.

---

# ZnFeOs2

Crystalline ZnFeOs2 at its relaxed geometry (GGA-PBE, the Alexandria database).

```
ZnFeOs2
1.0
-1.900 1.900 3.757
1.900 -1.900 3.757
1.900 1.900 -3.757
Zn Fe Os
1 1 2
direct
0.000 0.000 0.000 Zn
0.250 0.750 0.500 Fe
0.500 0.500 0.000 Os
0.750 0.250 0.500 Os
```

The value obtained for the total moment is 2.61 μB/f.u. The calculation puts the total energy at -7.79 eV per atom. The space group is I-4m2. As for the formation enthalpy at 0 K: 1.05 eV/f.u.

---

# Al3IrBr

Crystalline Al3IrBr at its relaxed geometry (GGA-PBE, the Alexandria database).

```
Al3IrBr
1.0
4.794 0.000 0.000
0.000 4.794 0.000
0.000 0.000 4.794
Al Ir Br
3 1 1
direct
0.000 0.000 0.500 Al
0.000 0.500 0.000 Al
0.500 0.000 0.000 Al
0.500 0.500 0.500 Ir
0.000 0.000 0.000 Br
```

The value obtained for the total moment is 0.00 μB/f.u. The calculation puts the total energy at -2.99 eV per atom. Its formation energy (no corrections) is 1358.2 meV per atom. The space group is Pm-3m.

---

# La4Sm10Tm

Crystalline La4Sm10Tm at its relaxed geometry (GGA-PBE, the Alexandria database).

```
La4Sm10Tm
1.0
-4.988 4.988 5.322
4.988 -4.988 5.322
4.988 4.988 -5.322
La Sm Tm
4 10 1
direct
0.060 0.330 0.389 La
0.330 0.940 0.270 La
0.670 0.060 0.730 La
0.940 0.670 0.611 La
0.132 0.452 0.908 Sm
0.223 0.132 0.679 Sm
0.250 0.750 0.500 Sm
0.452 0.544 0.321 Sm
0.456 0.777 0.908 Sm
0.544 0.223 0.092 Sm
0.548 0.456 0.679 Sm
0.750 0.250 0.500 Sm
0.777 0.868 0.321 Sm
0.868 0.548 0.092 Sm
0.000 0.000 0.000 Tm
```

The value obtained for the total moment is 0.00 μB/f.u. The calculation puts the total energy at -4.43 eV per atom. The space group is I4/m. As for the formation enthalpy at 0 K: 4.88 eV/f.u.

---

# B5C7

Crystalline B5C7 at its relaxed geometry (GGA-PBE, the Alexandria database).

```
B5C7
1.0
2.144 -3.804 0.000
2.144 3.804 0.000
-1.430 0.000 4.600
B C
5 7
direct
0.000 0.000 0.000 B
0.217 0.811 0.785 B
0.267 0.517 0.991 B
0.517 0.267 0.991 B
0.811 0.217 0.785 B
0.065 0.065 0.356 C
0.087 0.745 0.443 C
0.385 0.708 0.332 C
0.442 0.442 0.475 C
0.598 0.598 0.809 C
0.708 0.385 0.332 C
0.745 0.087 0.443 C
```

The value obtained for the total moment is 0.00 μB/f.u. The calculation puts the total energy at -7.87 eV per atom. The space group is Cm. As for the formation enthalpy at 0 K: 3.47 eV/f.u.

---

# La6PrAg5

Crystalline La6PrAg5 at its relaxed geometry (GGA-PBE, the Alexandria database).

```
La6PrAg5
1.0
5.431 0.000 0.000
0.000 7.794 0.000
-2.698 0.000 8.239
La Pr Ag
6 1 5
direct
0.000 0.226 0.000 La
0.000 0.774 0.000 La
0.324 0.252 0.648 La
0.324 0.748 0.648 La
0.676 0.252 0.352 La
0.676 0.748 0.352 La
0.500 0.500 0.000 Pr
0.149 0.500 0.300 Ag
0.167 0.000 0.335 Ag
0.500 0.000 0.000 Ag
0.833 0.000 0.665 Ag
0.851 0.500 0.700 Ag
```

The value obtained for the total moment is 0.01 μB/f.u. The calculation puts the total energy at -4.21 eV per atom. The space group is P2/m. As for the formation enthalpy at 0 K: -1.95 eV/f.u.

---

# Sr2YTl

Crystalline Sr2YTl at its relaxed geometry (GGA-PBE, the Alexandria database).

```
Sr2YTl
1.0
3.946 0.000 0.000
0.000 3.946 0.000
0.000 0.000 10.131
Sr Y Tl
2 1 1
direct
0.000 0.000 0.000 Sr
0.500 0.500 0.336 Sr
0.500 0.500 0.717 Y
0.000 0.000 0.554 Tl
```

The value obtained for the total moment is 0.00 μB/f.u. The calculation puts the total energy at -3.18 eV per atom. The space group is P4mm. As for the formation enthalpy at 0 K: -0.53 eV/f.u.

---

# Sc3HSe2

Crystalline Sc3HSe2 at its relaxed geometry (GGA-PBE, the Alexandria database).

```
Sc3HSe2
1.0
6.546 -3.484 0.000
6.546 3.484 0.000
0.000 0.000 5.386
Sc H Se
6 2 4
direct
0.109 0.600 0.002 Sc
0.110 0.890 0.500 Sc
0.400 0.891 0.002 Sc
0.600 0.109 0.502 Sc
0.890 0.110 0.000 Sc
0.891 0.400 0.502 Sc
0.169 0.831 0.120 H
0.831 0.169 0.620 H
0.191 0.493 0.503 Se
0.493 0.191 0.003 Se
0.507 0.809 0.503 Se
0.809 0.507 0.003 Se
```

The value obtained for the total moment is 0.04 μB/f.u. The calculation puts the total energy at -5.92 eV per atom. The space group is Cmc2_1.

---

# Sm12Ag6Au

Crystalline Sm12Ag6Au at its relaxed geometry (GGA-PBE, the Alexandria database).

```
Sm12Ag6Au
1.0
5.660 3.268 4.740
-5.660 3.268 4.740
0.000 -6.536 4.740
Sm Ag Au
12 6 1
direct
0.039 0.952 0.303 Sm
0.048 0.697 0.961 Sm
0.147 0.498 0.358 Sm
0.303 0.039 0.952 Sm
0.358 0.147 0.498 Sm
0.498 0.358 0.147 Sm
0.502 0.642 0.853 Sm
0.642 0.853 0.502 Sm
0.697 0.961 0.048 Sm
0.853 0.502 0.642 Sm
0.952 0.303 0.039 Sm
0.961 0.048 0.697 Sm
0.224 0.389 0.766 Ag
0.234 0.776 0.611 Ag
0.389 0.766 0.224 Ag
0.611 0.234 0.776 Ag
0.766 0.224 0.389 Ag
0.776 0.611 0.234 Ag
0.500 0.500 0.500 Au
```

The value obtained for the total moment is 0.01 μB/f.u. The calculation puts the total energy at -4.16 eV per atom. The space group is R-3. As for the formation enthalpy at 0 K: -2.05 eV/f.u.

---

| no. | ρ (g cm⁻³) |
| --- | --- |
| 1 | 2.09 |
| 2 | 2.48 |
| 3 | 6.21 |
| 4 | 2.73 |
| 5 | 4.31 |
| 6 | 6.28 |
| 7 | 7.28 |
| 8 | 9.42 |
| 9 | 3.87 |
| 10 | 4.23 |
| 11 | 7.62 |
| 12 | 2.83 |
| 13 | 15.36 |
| 14 | 5.32 |
| 15 | 6.98 |
| 16 | 3.06 |
| 17 | 7.21 |
| 18 | 4.93 |
| 19 | 3.97 |
| 20 | 8.36 |